Density functional theory data (GGA-PBE) for a relaxed structure of V2H2Rh.

Summary:
* total magnetization: 0.0 Bohr magnetons per cell
* polymorph energy (0 for the lowest one): 239 meV/atom
* symmetry: No. 127

Cell lengths 5.8722, 5.8722, 2.6885 Å; angles 90.00, 90.00, 90.00 degrees
Positions (direct):
H 0.3760 0.8760 0.0000
H 0.6240 0.1240 0.0000
V 0.6445 0.8555 0.5000
Rh 0.0000 0.0000 0.0000
H 0.8760 0.6240 0.0000
V 0.1445 0.6445 0.5000
H 0.1240 0.3760 0.0000
V 0.3555 0.1445 0.5000
V 0.8555 0.3555 0.5000
Rh 0.5000 0.5000 0.0000

***

Density functional theory data (GGA-PBE) for a relaxed structure of Re2PBr.

Summary:
* total magnetization: 0.0 Bohr magnetons per cell
* uncorrected formation energy: 0.90 eV/atom
* polymorph energy (0 for the lowest one): 604 meV/atom
* symmetry: No. 71

Cell lengths 5.6168, 5.6168, 5.6168 Å; angles 149.94, 132.93, 56.87 degrees
Positions (direct):
Re 0.0525 0.0525 0.0000
P 0.2500 0.7500 0.5000
Br 0.7500 0.2500 0.5000
Re 0.4475 0.4475 0.0000

***

Density functional theory data (GGA-PBE) for a relaxed structure of Pu3Ga8Au3.

Summary:
* total magnetization: 16.8 Bohr magnetons per cell
* formation energy: -0.38 eV per atom
* symmetry: No. 12

Cell lengths 4.6087, 8.2425, 8.3457 Å; angles 67.57, 73.97, 73.77 degrees
Positions (direct):
Ga 0.3461 0.0172 0.2905
Au 0.6477 0.7090 0.9955
Ga 0.8558 0.8618 0.4266
Ga 0.5009 0.3291 0.6691
Ga 0.1488 0.5645 0.1379
Au 0.0000 0.5000 0.5000
Pu 0.2899 0.7180 0.7022
Ga 0.4991 0.6709 0.3309
Pu 0.0000 0.0000 0.0000
Ga 0.8512 0.4355 0.8621
Ga 0.6539 0.9828 0.7095
Pu 0.7101 0.2820 0.2978
Ga 0.1442 0.1382 0.5734
Au 0.3523 0.2910 0.0045

***

Density functional theory data (GGA-PBE) for a relaxed structure of YC3.

Summary:
* total magnetization: 0.0 Bohr magnetons per cell
* polymorph energy (0 for the lowest one): 738 meV/atom
* formation energy: 1.00 eV per atom
* symmetry: No. 63

Cell lengths 7.3974, 7.3974, 3.3596 Å; angles 90.00, 90.00, 140.40 degrees
Positions (direct):
C 0.0015 0.2661 0.2500
C 0.9985 0.7339 0.7500
Y 0.3219 0.6781 0.7500
C 0.7339 0.9985 0.2500
C 0.1812 0.8188 0.2500
C 0.8188 0.1812 0.7500
Y 0.6781 0.3219 0.2500
C 0.2661 0.0015 0.7500

***

Density functional theory data (GGA-PBE) for a relaxed structure of NpGa7Cu5.

Summary:
* total magnetization: 4.3 Bohr magnetons per cell
* formation energy: -0.15 eV per atom
* symmetry: No. 44

Cell lengths 5.1631, 6.7279, 6.7279 Å; angles 82.53, 67.44, 67.44 degrees
Positions (direct):
Ga 0.2731 0.2269 0.2269
Ga 0.9922 0.6637 0.3519
Ga 0.5081 0.7924 0.1914
Cu 0.4990 0.4983 0.9991
Np 0.9978 0.0022 0.0022
Ga 0.3437 0.6563 0.6563
Cu 0.4990 0.9991 0.4983
Ga 0.9922 0.3519 0.6637
Cu 0.7311 0.7689 0.7689
Ga 0.5081 0.1914 0.7924
Cu 0.0036 0.9991 0.4983
Cu 0.0036 0.4983 0.9991
Ga 0.6486 0.3514 0.3514

***

Density functional theory data (GGA-PBE) for a relaxed structure of Na2PmWN4.

Summary:
* total magnetization: 0.9 Bohr magnetons per cell
* uncorrected formation energy: -0.41 eV/atom
* symmetry: No. 121

Cell lengths 6.1718, 5.4267, 5.4267 Å; angles 72.93, 55.34, 55.34 degrees
Positions (direct):
N 0.0000 0.5148 0.1486
N 0.6633 0.4853 0.8515
Na 0.5000 0.2500 0.7500
Pm 0.0000 0.0000 0.0000
Na 0.5000 0.7500 0.2500
N 0.3367 0.1485 0.5147
N 0.0000 0.8514 0.4852
W 0.0000 0.5000 0.5000

***

Density functional theory data (GGA-PBE) for a relaxed structure of Tl2AgCl2.

Summary:
* total magnetization: 0.0 Bohr magnetons per cell
* uncorrected formation energy: -0.44 eV/atom
* polymorph energy (0 for the lowest one): 0 meV/atom
* symmetry: No. 127

Cell lengths 8.0939, 8.0939, 4.4290 Å; angles 90.00, 90.00, 90.00 degrees
Positions (direct):
Tl 0.6679 0.1679 0.0000
Tl 0.8321 0.6679 0.0000
Cl 0.6505 0.8495 0.5000
Cl 0.3495 0.1505 0.5000
Ag 0.0000 0.0000 0.0000
Cl 0.8495 0.3495 0.5000
Tl 0.1679 0.3321 0.0000
Cl 0.1505 0.6505 0.5000
Ag 0.5000 0.5000 0.0000
Tl 0.3321 0.8321 0.0000

***

Density functional theory data (GGA-PBE) for a relaxed structure of PmHg2Sb.

Summary:
* total magnetization: 0.0 Bohr magnetons per cell
* uncorrected formation energy: -0.52 eV/atom
* symmetry: No. 123

Cell lengths 5.1196, 4.5239, 4.5239 Å; angles 90.00, 90.00, 90.00 degrees
Positions (direct):
Hg 0.0000 0.0000 0.5000
Pm 0.5000 0.5000 0.5000
Hg 0.0000 0.5000 0.0000
Sb 0.5000 0.0000 0.0000